Compound: HfCdF2
Source: Alexandria
Functional: PBE
Structure: optimized geometry

The structure belongs to space group Fm-3m (No. 225); the cell edges are 6.2751, 6.2751 and 6.2751 Å and the angles 90.00°, 90.00° and 90.00°. Symmetry generates all atoms from Hf at (0.0000, 0.0000, 0.0000), Cd at (0.0000, 0.0000, 0.5000) and F at (0.2500, 0.2500, 0.2500).

As for the raw formation energy: -0.9834 eV per atom. The final energy comes out at -4.636 eV/atom.